No. 1
Material: PmAlFe2O6
Method: DFT, GGA+U
State: relaxed

Calculated values
energy = -7.13 eV per atom
symmetry = P1, No. 1
density = 5.66 g cm⁻³

Lattice parameters (Å, degrees): 5.353 5.177 5.633 60.93 60.22 60.04
Each line ends with the local moment (μB).
Sites, in units of the cell vectors:
Al1 0.323 0.316 0.039  0.01
Fe1 0.524 0.526 0.421  4.30
Pm1 0.790 0.779 0.637  0.00
O1 0.344 0.722 0.763  0.00
O2 0.175 0.345 0.760  0.03
O3 0.928 0.602 0.227  0.04
O4 0.604 0.259 0.214  0.07
Fe2 0.007 0.005 0.967  3.14
O5 0.713 0.182 0.749  0.11
O6 0.254 0.925 0.238  0.16

No. 2
Material: Pm2AlFeO6
Method: DFT, GGA+U
State: relaxed

Calculated values
energy = -7.44 eV per atom
symmetry = P4/mmm, No. 123
density = 7.24 g cm⁻³

Lattice parameters (Å, degrees): 3.711 5.383 5.383 90.00 90.00 90.00
Each line ends with the local moment (μB).
Sites, in units of the cell vectors:
Fe1 0.645 0.500 0.500  0.93
Pm1 0.144 0.000 0.500  0.00
O1 0.645 0.247 0.753  -0.01
Pm2 0.144 0.500 0.000  0.00
O2 0.145 0.000 0.000  0.00
O3 0.645 0.753 0.753  -0.01
Al1 0.645 0.000 0.000  0.00
O4 0.645 0.247 0.247  -0.01
O5 0.645 0.753 0.247  -0.01
O6 0.145 0.500 0.500  0.10

No. 3
Material: Pr2AlFeO6
Method: DFT, GGA+U
State: relaxed

Calculated values
energy = -7.55 eV per atom
symmetry = P2_1/c, No. 14
density = 6.80 g cm⁻³

Lattice parameters (Å, degrees): 5.439 5.409 7.650 90.00 90.09 90.00
Each line ends with the local moment (μB).
Sites, in units of the cell vectors:
O1 0.225 0.232 0.036  -0.02
O2 0.775 0.768 0.964  -0.02
O3 0.933 0.508 0.246  -0.02
Al1 0.000 0.500 0.000  0.00
O4 0.433 0.992 0.746  -0.02
Al2 0.500 0.000 0.500  0.00
O5 0.725 0.268 0.536  -0.02
O6 0.268 0.726 0.036  -0.01
Fe1 0.000 0.500 0.500  1.09
O7 0.567 0.008 0.254  -0.02
Pr1 0.006 0.976 0.250  0.00
Fe2 0.500 0.000 0.000  1.09
O8 0.232 0.226 0.464  -0.01
Pr2 0.494 0.476 0.250  0.00
O9 0.732 0.274 0.964  -0.01
O10 0.067 0.492 0.754  -0.02
O11 0.275 0.732 0.464  -0.02
Pr3 0.506 0.524 0.750  0.00
Pr4 0.994 0.024 0.750  0.00
O12 0.768 0.774 0.536  -0.01

No. 4
Material: PuAlFe2O6
Method: DFT, GGA+U
State: relaxed

Calculated values
energy = -7.98 eV per atom
symmetry = P1, No. 1
density = 7.04 g cm⁻³

Lattice parameters (Å, degrees): 5.266 5.236 5.579 62.56 62.46 60.21
Each line ends with the local moment (μB).
Sites, in units of the cell vectors:
O1 0.219 0.952 0.246  -0.03
O2 0.951 0.580 0.248  -0.05
O3 0.419 0.691 0.762  -0.07
O4 0.581 0.231 0.245  -0.04
Fe1 0.022 0.022 0.936  3.73
Al1 0.318 0.317 0.048  0.01
O5 0.119 0.416 0.771  -0.05
Pu1 0.819 0.820 0.541  3.52
Fe2 0.521 0.522 0.441  1.94
O6 0.692 0.111 0.777  -0.05

No. 5
Material: PuAlFeO6
Method: DFT, GGA+U
State: relaxed

Calculated values
energy = -8.14 eV per atom
symmetry = P-31c, No. 163
density = 6.95 g cm⁻³

Lattice parameters (Å, degrees): 5.135 5.135 8.851 90.00 90.00 120.00
Each line ends with the local moment (μB).
Sites, in units of the cell vectors:
Fe1 0.000 0.000 0.500  4.35
O1 0.325 0.979 0.131  -0.01
O2 0.021 0.675 0.369  -0.01
O3 0.675 0.021 0.869  -0.01
Al1 0.667 0.333 0.750  0.01
Fe2 0.000 0.000 0.000  4.35
O4 0.347 0.325 0.869  -0.01
O5 0.021 0.347 0.131  -0.01
O6 0.325 0.347 0.369  -0.01
O7 0.653 0.675 0.131  -0.01
Pu1 0.667 0.333 0.250  2.67
O8 0.347 0.021 0.631  -0.01
Al2 0.333 0.667 0.250  0.01
Pu2 0.333 0.667 0.750  2.67
O9 0.979 0.653 0.869  -0.01
O10 0.653 0.979 0.369  -0.01
O11 0.979 0.325 0.631  -0.01
O12 0.675 0.653 0.631  -0.01

No. 6
Material: Sr2Al3FeO8
Method: DFT, GGA+U
State: relaxed

Calculated values
energy = -7.04 eV per atom
symmetry = P2_1, No. 4
density = 3.58 g cm⁻³

Lattice parameters (Å, degrees): 8.988 5.304 8.579 86.07 90.00 90.00
Each line ends with the local moment (μB).
Sites, in units of the cell vectors:
O1 0.609 0.632 0.018  0.13
O2 0.010 0.090 0.264  0.12
Sr1 0.003 0.745 0.482  0.01
O3 0.848 0.909 0.795  0.13
O4 0.826 0.550 0.266  0.00
O5 0.206 0.951 0.826  0.00
O6 0.348 0.091 0.205  0.13
O7 0.109 0.368 0.982  0.13
Al1 0.662 0.721 0.206  0.01
O8 0.012 0.349 0.665  0.00
O9 0.706 0.049 0.174  0.00
O10 0.512 0.651 0.335  0.00
O11 0.326 0.450 0.734  0.00
O12 0.687 0.389 0.730  0.12
Al2 0.837 0.197 0.676  0.01
Al3 0.829 0.214 0.291  0.00
Al4 0.337 0.803 0.324  0.01
Sr2 0.513 0.196 0.972  0.00
O13 0.284 0.889 0.513  0.00
Al5 0.329 0.786 0.709  0.00
O14 0.510 0.910 0.736  0.12
Sr3 0.503 0.255 0.518  0.01
Fe1 0.673 0.709 0.810  4.26
Al6 0.162 0.279 0.794  0.01
O15 0.187 0.611 0.270  0.12
Fe2 0.173 0.291 0.190  4.26
O16 0.784 0.111 0.487  0.00
Sr4 0.013 0.804 0.028  0.00